[1]
First-principles (GGA-PBE) data for an optimized crystal structure of NiAuBr2, as listed in the Alexandria database.

a = 13.4644 Å, b = 3.5043 Å, c = 4.7750 Å
α = 90.00°, β = 100.60°, γ = 90.00°
Space group C2/m (No. 12)
Unique sites:
Ni  0.0000  0.0000  0.0000 x2
Au  0.0000  0.5000  0.5000 x2
Br  0.1287  0.5000  0.1732 x4

Computed properties:
* energy above the lowest structure with this stoichiometry: 0.000 eV/atom

[2]
First-principles (GGA-PBE) data for an optimized crystal structure of AcCePm2, as listed in the Alexandria database.

a = 8.3673 Å, b = 8.3673 Å, c = 8.3673 Å
α = 90.00°, β = 90.00°, γ = 90.00°
Space group Fm-3m (No. 225)
Unique sites:
Ac  0.0000  0.0000  0.0000 x4
Ce  0.0000  0.0000  0.5000 x4
Pm  0.2500  0.2500  0.2500 x8

Computed properties:
* energy above the lowest structure with this stoichiometry: 0.123 eV/atom

[3]
First-principles (GGA-PBE) data for an optimized crystal structure of Sr2LaPr, as listed in the Alexandria database.

a = 3.8042 Å, b = 3.8042 Å, c = 41.8552 Å
α = 90.00°, β = 90.00°, γ = 120.00°
Space group R-3m (No. 166, hexagonal axes)
Unique sites:
Sr  0.0000  0.0000  0.0876 x6
La  0.0000  0.0000  0.5000 x3
Pr  0.0000  0.0000  0.0000 x3

Computed properties:
* energy above the lowest structure with this stoichiometry: 0.182 eV/atom

[4]
First-principles (GGA-PBE) data for an optimized crystal structure of Sm3YPb2, as listed in the Alexandria database.

a = 4.6318 Å, b = 4.6318 Å, c = 8.7627 Å
α = 90.00°, β = 90.00°, γ = 90.00°
Space group P-4m2 (No. 115)
Unique sites:
Sm  0.0000  0.0000  0.0000 x1
Sm  0.0000  0.5000  0.6548 x2
Y  0.5000  0.5000  0.0000 x1
Pb  0.0000  0.5000  0.2823 x2

Computed properties:
* energy above the lowest structure with this stoichiometry: 0.000 eV/atom

[5]
First-principles (GGA-PBE) data for an optimized crystal structure of ZrAl3Cu2, as listed in the Alexandria database.

a = 4.9648 Å, b = 4.9648 Å, c = 10.1670 Å
α = 90.00°, β = 90.00°, γ = 120.00°
Space group P6_3/mmc (No. 194)
Unique sites:
Zr  0.0000  0.0000  0.0000 x2
Al  0.1671  0.3343  0.2500 x6
Cu  0.3333  0.6667  0.6177 x4

Computed properties:
* E_tot: -52.975 eV per cell

[6]
First-principles (GGA-PBE) data for an optimized crystal structure of ReSeN2, as listed in the Alexandria database.

a = 8.4319 Å, b = 8.4319 Å, c = 8.4319 Å
α = 90.00°, β = 90.00°, γ = 90.00°
Space group Fd-3m (No. 227, origin choice 2)
Unique sites:
Re  0.1250  0.1250  0.1250 x8
Se  0.1250  0.1250  0.6250 x8
N  0.0000  0.0000  0.0000 x16

Computed properties:
* E_tot: -242.540 eV per cell

[7]
First-principles (GGA-PBE) data for an optimized crystal structure of Tc3PdO, as listed in the Alexandria database.

a = 4.0597 Å, b = 4.0597 Å, c = 4.0597 Å
α = 90.00°, β = 90.00°, γ = 90.00°
Space group Pm-3m (No. 221)
Unique sites:
Tc  0.0000  0.0000  0.5000 x3
Pd  0.5000  0.5000  0.5000 x1
O  0.0000  0.0000  0.0000 x1

Computed properties:
* energy above the lowest structure with this stoichiometry: 0.000 eV/atom

[8]
First-principles (GGA-PBE) data for an optimized crystal structure of TbCeYHo2, as listed in the Alexandria database.

a = 7.9173 Å, b = 6.9277 Å, c = 5.8840 Å
α = 90.00°, β = 90.04°, γ = 90.00°
Space group P2/c (No. 13)
Unique sites:
Tb  0.0000  0.1631  0.2500 x2
Ce  0.5000  0.0000  0.0000 x2
Y  0.5000  0.4022  0.2500 x2
Ho  0.2008  0.3130  0.7502 x4

Computed properties:
* E_tot: -49.248 eV per cell